# 1
## Cu5Ag3 (PBE-GGA)

Data for an optimized crystal structure of Cu5Ag3.

## Properties
polymorph energy (0 for the lowest one) = 0.067 eV per atom
SG = R-3m

Cell: 17.571 17.571 17.571 Å, 8.96 8.96 8.96°
Element x y z (fractional)
1 Ag 0.252 0.252 0.252
2 Ag 0.500 0.500 0.500
3 Ag 0.748 0.748 0.748
4 Cu 0.124 0.124 0.124
5 Cu 0.629 0.629 0.629
6 Cu 0.000 0.000 0.000
7 Cu 0.876 0.876 0.876
8 Cu 0.371 0.371 0.371

# 2
## Cu7Ag2 (PBE-GGA)

Data for an optimized crystal structure of Cu7Ag2.

## Properties
polymorph energy (0 for the lowest one) = 0.025 eV per atom
SG = C2/m

Cell: 6.913 6.913 7.647 Å, 122.12 122.12 22.78°
Element x y z (fractional)
1 Cu 0.057 0.057 0.318
2 Cu 0.837 0.837 0.988
3 Cu 0.284 0.284 0.663
4 Cu 0.716 0.716 0.337
5 Cu 0.500 0.500 0.000
6 Cu 0.943 0.943 0.682
7 Cu 0.163 0.163 0.012
8 Ag 0.385 0.385 0.328
9 Ag 0.615 0.615 0.672

# 3
## Cu2Ag5 (PBE-GGA)

Data for an optimized crystal structure of Cu2Ag5.

## Properties
polymorph energy (0 for the lowest one) = 0.000 eV per atom
SG = I4/mmm

Cell: 13.807 13.807 13.807 Å, 168.00 168.00 17.01°
Element x y z (fractional)
1 Ag 0.656 0.656 0.000
2 Ag 0.500 0.500 0.000
3 Ag 0.344 0.344 0.000
4 Ag 0.078 0.078 0.000
5 Ag 0.922 0.922 0.000
6 Cu 0.223 0.223 0.000
7 Cu 0.777 0.777 0.000

# 4
## Cu5Ag3 (PBE-GGA)

Data for an optimized crystal structure of Cu5Ag3.

## Properties
polymorph energy (0 for the lowest one) = 0.056 eV per atom
SG = R3m

Cell: 17.599 17.599 17.599 Å, 8.93 8.93 8.93°
Element x y z (fractional)
1 Ag 0.124 0.124 0.124
2 Ag 0.247 0.247 0.247
3 Ag 0.628 0.628 0.628
4 Cu 0.005 0.005 0.005
5 Cu 0.376 0.376 0.376
6 Cu 0.871 0.871 0.871
7 Cu 0.747 0.747 0.747
8 Cu 0.501 0.501 0.501

# 5
## Cu7Ag2 (PBE-GGA)

Data for an optimized crystal structure of Cu7Ag2.

## Properties
polymorph energy (0 for the lowest one) = 0.025 eV per atom
SG = P-1

Cell: 4.551 4.618 5.948 Å, 83.72 75.52 79.66°
Element x y z (fractional)
1 Cu 0.838 0.659 0.687
2 Cu 0.500 0.000 0.000
3 Cu 0.724 0.440 0.100
4 Cu 0.276 0.560 0.900
5 Cu 0.058 0.113 0.795
6 Cu 0.162 0.341 0.313
7 Cu 0.942 0.887 0.205
8 Ag 0.626 0.218 0.559
9 Ag 0.374 0.782 0.441

# 6
## Cu4Ag3 (PBE-GGA)

Data for an optimized crystal structure of Cu4Ag3.

## Properties
polymorph energy (0 for the lowest one) = 0.042 eV per atom
SG = C2/m

Cell: 5.973 5.973 6.703 Å, 110.23 110.23 26.82°
Element x y z (fractional)
1 Cu 0.280 0.280 0.865
2 Cu 0.720 0.720 0.135
3 Cu 0.583 0.583 0.730
4 Cu 0.417 0.417 0.270
5 Ag 0.864 0.864 0.569
6 Ag 0.136 0.136 0.431
7 Ag 0.000 0.000 0.000

# 7
## CuAg (PBE-GGA)

Data for an optimized crystal structure of CuAg.

## Properties
SG = Cmmm

Cell: 6.329 6.329 3.935 Å, 90.00 90.00 145.48°
Element x y z (fractional)
1 Ag 0.835 0.165 0.500
2 Ag 0.000 0.000 0.000
3 Ag 0.165 0.835 0.500
4 Cu 0.500 0.500 0.500
5 Cu 0.668 0.332 0.000
6 Cu 0.332 0.668 0.000

# 8
## CuAg2 (PBE-GGA)

Data for an optimized crystal structure of CuAg2.

## Properties
polymorph energy (0 for the lowest one) = 0.061 eV per atom
SG = Imm2

Cell: 7.442 7.442 7.442 Å, 157.90 73.61 110.83°
Element x y z (fractional)
1 Ag 0.497 0.997 0.500
2 Ag 0.848 0.348 0.500
3 Ag 0.162 0.327 0.835
4 Ag 0.493 0.327 0.165
5 Ag 0.495 0.665 0.830
6 Ag 0.835 0.665 0.170
7 Cu 0.167 0.005 0.162
8 Cu 0.159 0.659 0.500
9 Cu 0.842 0.005 0.838

# 9
## CuAg (PBE-GGA)

Data for an optimized crystal structure of CuAg.

## Properties
SG = Cm

Cell: 4.781 4.781 11.755 Å, 99.92 99.92 33.88°
Element x y z (fractional)
1 Ag 0.100 0.100 0.702
2 Ag 0.898 0.898 0.307
3 Ag 0.193 0.193 0.423
4 Ag 0.602 0.602 0.190
5 Ag 0.308 0.308 0.079
6 Cu 0.485 0.485 0.512
7 Cu 0.008 0.008 0.977
8 Cu 0.809 0.809 0.616
9 Cu 0.396 0.396 0.804
10 Cu 0.701 0.701 0.891

# 10
## CuAg2 (PBE-GGA)

Data for an optimized crystal structure of CuAg2.

## Properties
polymorph energy (0 for the lowest one) = 0.052 eV per atom
SG = Fmm2

Cell: 8.545 6.290 6.420 Å, 84.48 47.11 48.40°
Element x y z (fractional)
1 Ag 0.672 0.341 0.659
2 Ag 0.336 0.336 0.664
3 Ag 0.995 0.660 0.340
4 Ag 0.663 0.663 0.337
5 Ag 0.341 0.672 0.328
6 Ag 0.660 0.995 0.005
7 Cu 0.333 0.996 0.004
8 Cu 0.996 0.333 0.667
9 Cu 0.004 0.004 0.996

# 11
## CuAg (PBE-GGA)

Data for an optimized crystal structure of CuAg.

## Properties
SG = C2/m

Cell: 6.036 6.036 9.194 Å, 100.53 100.53 26.73°
Element x y z (fractional)
1 Cu 0.890 0.890 0.185
2 Cu 0.000 0.000 0.500
3 Cu 0.110 0.110 0.815
4 Cu 0.793 0.793 0.907
5 Cu 0.207 0.207 0.093
6 Ag 0.408 0.408 0.703
7 Ag 0.592 0.592 0.297
8 Ag 0.307 0.307 0.392
9 Ag 0.693 0.693 0.608
10 Ag 0.500 0.500 0.000

# 12
## Cu3Ag5 (PBE-GGA)

Data for an optimized crystal structure of Cu3Ag5.

## Properties
polymorph energy (0 for the lowest one) = 0.048 eV per atom
SG = Pmm2

Cell: 3.806 5.726 5.769 Å, 90.00 90.00 90.00°
Element x y z (fractional)
1 Cu 0.500 0.500 0.765
2 Cu 0.000 0.265 0.989
3 Cu 0.000 0.735 0.989
4 Ag 0.500 0.000 0.767
5 Ag 0.500 0.500 0.230
6 Ag 0.000 0.257 0.510
7 Ag 0.000 0.743 0.510
8 Ag 0.500 0.000 0.241

Listing total DFT energy (no corrections) for the structures above in their given order: -26.15; -31.03; -21.30; -26.24; -31.03; -22.70; -19.00; -27.27; -31.86; -27.35; -31.82; -24.59 eV/cell.